A plane-wave DFT calculation with GGA-PBEsol was carried out for a relaxed Zn2AuSe crystal.

Cell and atoms, written as POSCAR:
```
Zn2AuSe
1.0
1.858 1.073 6.035
-1.858 1.073 6.035
0.000 -2.145 6.035
Zn Au Se
2 1 1
direct
0.250 0.250 0.250 Zn
0.750 0.750 0.750 Zn
0.000 0.000 0.000 Au
0.500 0.500 0.500 Se
```

Summary:
- Space-group type: R-3m

A plane-wave DFT calculation with GGA-PBEsol was carried out for a relaxed Si2Au7 crystal.

Cell and atoms, written as POSCAR:
```
Si2Au7
1.0
5.060 -2.546 0.000
5.060 2.546 0.000
0.000 0.000 11.854
Si Au
4 14
direct
0.159 0.841 0.608 Si
0.159 0.841 0.892 Si
0.841 0.159 0.108 Si
0.841 0.159 0.392 Si
0.088 0.298 0.250 Au
0.117 0.600 0.066 Au
0.117 0.600 0.434 Au
0.298 0.088 0.750 Au
0.400 0.883 0.066 Au
0.400 0.883 0.434 Au
0.474 0.526 0.250 Au
0.526 0.474 0.750 Au
0.600 0.117 0.566 Au
0.600 0.117 0.934 Au
0.702 0.912 0.250 Au
0.883 0.400 0.566 Au
0.883 0.400 0.934 Au
0.912 0.702 0.750 Au
```

Summary:
- Space-group type: Cmcm

A plane-wave DFT calculation with GGA-PBEsol was carried out for a relaxed SiAu3 crystal.

Cell and atoms, written as POSCAR:
```
SiAu3
1.0
5.735 0.000 0.000
0.000 7.163 0.000
0.000 0.000 6.596
Si Au
4 12
direct
0.171 0.250 0.083 Si
0.329 0.750 0.583 Si
0.671 0.250 0.417 Si
0.829 0.750 0.917 Si
0.005 0.250 0.664 Au
0.201 0.554 0.881 Au
0.201 0.946 0.881 Au
0.299 0.054 0.381 Au
0.299 0.446 0.381 Au
0.495 0.750 0.164 Au
0.505 0.250 0.836 Au
0.701 0.554 0.619 Au
0.701 0.946 0.619 Au
0.799 0.054 0.119 Au
0.799 0.446 0.119 Au
0.995 0.750 0.336 Au
```

Summary:
- Space-group type: Pnma

A plane-wave DFT calculation with GGA-PBEsol was carried out for a relaxed SiAu3 crystal.

Cell and atoms, written as POSCAR:
```
SiAu3
1.0
-1.440 4.383 2.636
1.440 -4.383 2.636
1.440 4.383 -2.636
Si Au
1 3
direct
0.000 0.000 0.000 Si
0.387 0.674 0.712 Au
0.594 0.094 0.500 Au
0.962 0.674 0.288 Au
```

Summary:
- Space-group type: Imm2

A plane-wave DFT calculation with GGA-PBEsol was carried out for a relaxed Si3Au2 crystal.

Cell and atoms, written as POSCAR:
```
Si3Au2
1.0
0.000 7.366 1.954
5.912 0.000 1.954
5.912 7.366 0.000
Si Au
6 4
direct
0.000 0.000 0.000 Si
0.250 0.250 0.250 Si
0.458 0.705 0.302 Si
0.705 0.458 0.535 Si
0.715 0.948 0.545 Si
0.948 0.715 0.792 Si
0.225 0.502 0.830 Au
0.420 0.807 0.025 Au
0.502 0.225 0.443 Au
0.807 0.420 0.748 Au
```

Summary:
- Space-group type: Fdd2

A plane-wave DFT calculation with GGA-PBEsol was carried out for a relaxed SiAu3 crystal.

Cell and atoms, written as POSCAR:
```
SiAu3
1.0
3.411 0.000 0.000
0.000 3.421 0.000
0.000 0.000 5.663
Si Au
1 3
direct
0.000 0.000 0.000 Si
0.000 0.000 0.500 Au
0.500 0.500 0.240 Au
0.500 0.500 0.760 Au
```

Summary:
- Space-group type: Pmmm

A plane-wave DFT calculation with GGA-PBEsol was carried out for a relaxed Si3Au crystal.

Cell and atoms, written as POSCAR:
```
Si3Au
1.0
4.502 2.599 0.897
-4.502 2.599 0.897
0.000 -5.199 0.897
Si Au
3 1
direct
0.000 0.500 0.500 Si
0.500 0.000 0.500 Si
0.500 0.500 0.000 Si
0.000 0.000 0.000 Au
```

Summary:
- Space-group type: R-3m
- ΔE to the lowest computed polymorph: 10.7 kJ per mole of atoms

A plane-wave DFT calculation with GGA-PBEsol was carried out for a relaxed SiAu2 crystal.

Cell and atoms, written as POSCAR:
```
SiAu2
1.0
1.433 -6.109 0.000
1.433 6.109 0.000
0.000 0.000 6.101
Si Au
2 4
direct
0.114 0.886 0.500 Si
0.886 0.114 0.000 Si
0.239 0.761 0.836 Au
0.472 0.528 0.323 Au
0.528 0.472 0.823 Au
0.761 0.239 0.336 Au
```

Summary:
- Space-group type: Cmc2_1

A plane-wave DFT calculation with GGA-PBEsol was carried out for a relaxed SiAu3 crystal.

Cell and atoms, written as POSCAR:
```
SiAu3
1.0
1.557 0.899 7.959
-1.557 0.899 7.959
0.000 -1.798 7.959
Si Au
1 3
direct
0.000 0.000 0.000 Si
0.258 0.258 0.258 Au
0.500 0.500 0.500 Au
0.742 0.742 0.742 Au
```

Summary:
- Space-group type: R-3m

A plane-wave DFT calculation with GGA-PBEsol was carried out for a relaxed Si3Au crystal.

Cell and atoms, written as POSCAR:
```
Si3Au
1.0
2.642 0.000 0.000
0.000 3.317 0.000
0.000 0.000 7.012
Si Au
3 1
direct
0.000 0.000 0.000 Si
0.500 0.500 0.236 Si
0.500 0.500 0.764 Si
0.000 0.000 0.500 Au
```

Summary:
- Space-group type: Pmmm
- ΔE to the lowest computed polymorph: 0.0 kJ per mole of atoms

A plane-wave DFT calculation with GGA-PBEsol was carried out for a relaxed SmSi2Au2 crystal.

Cell and atoms, written as POSCAR:
```
SmSi2Au2
1.0
-2.120 2.120 5.075
2.120 -2.120 5.075
2.120 2.120 -5.075
Sm Si Au
1 2 2
direct
0.000 0.000 0.000 Sm
0.386 0.386 0.000 Si
0.614 0.614 0.000 Si
0.250 0.750 0.500 Au
0.750 0.250 0.500 Au
```

Summary:
- Space-group type: I4/mmm

A plane-wave DFT calculation with GGA-PBEsol was carried out for a relaxed Sr2SiAu crystal.

Cell and atoms, written as POSCAR:
```
Sr2SiAu
1.0
4.458 0.000 0.000
0.000 4.458 0.000
0.000 0.000 6.319
Sr Si Au
2 1 1
direct
0.000 0.000 0.000 Sr
0.500 0.500 0.500 Sr
0.000 0.000 0.500 Si
0.500 0.500 0.000 Au
```

Summary:
- Space-group type: P4/mmm

A plane-wave DFT calculation with GGA-PBEsol was carried out for a relaxed Sr2SiAu crystal.

Cell and atoms, written as POSCAR:
```
Sr2SiAu
1.0
4.477 0.000 0.000
0.000 2.375 5.313
0.000 -2.375 5.313
Sr Si Au
2 1 1
direct
0.000 0.000 0.000 Sr
0.500 0.290 0.290 Sr
0.000 0.695 0.695 Si
0.500 0.592 0.592 Au
```

Summary:
- Space-group type: Amm2

A plane-wave DFT calculation with GGA-PBEsol was carried out for a relaxed SrSiAu3 crystal.

Cell and atoms, written as POSCAR:
```
SrSiAu3
1.0
4.824 0.000 0.000
0.000 4.824 0.000
0.000 0.000 4.824
Sr Si Au
1 1 3
direct
0.000 0.000 0.000 Sr
0.500 0.500 0.500 Si
0.000 0.500 0.500 Au
0.500 0.000 0.500 Au
0.500 0.500 0.000 Au
```

Summary:
- Space-group type: Pm-3m

A plane-wave DFT calculation with GGA-PBEsol was carried out for a relaxed SrSiAu2 crystal.

Cell and atoms, written as POSCAR:
```
SrSiAu2
1.0
-1.974 2.612 4.171
1.974 -2.612 4.171
1.974 2.612 -4.171
Sr Si Au
1 1 2
direct
0.000 0.000 0.000 Sr
0.278 0.778 0.500 Si
0.445 0.445 0.000 Au
0.701 0.201 0.500 Au
```

Summary:
- Space-group type: Imm2

A plane-wave DFT calculation with GGA-PBEsol was carried out for a relaxed Ta2SiAu crystal.

Cell and atoms, written as POSCAR:
```
Ta2SiAu
1.0
0.000 3.201 3.201
3.201 0.000 3.201
3.201 3.201 0.000
Ta Si Au
2 1 1
direct
0.000 0.000 0.000 Ta
0.250 0.250 0.250 Ta
0.750 0.750 0.750 Si
0.500 0.500 0.500 Au
```

Summary:
- Space-group type: F-43m

A plane-wave DFT calculation with GGA-PBEsol was carried out for a relaxed Ta2SiAu crystal.

Cell and atoms, written as POSCAR:
```
Ta2SiAu
1.0
2.813 0.000 0.000
0.000 4.144 0.000
0.000 0.000 5.500
Ta Si Au
2 1 1
direct
0.000 0.000 0.242 Ta
0.000 0.000 0.758 Ta
0.500 0.500 0.000 Si
0.500 0.500 0.500 Au
```

Summary:
- Space-group type: Pmmm

A plane-wave DFT calculation with GGA-PBEsol was carried out for a relaxed TaSiAu crystal.

Cell and atoms, written as POSCAR:
```
TaSiAu
1.0
2.888 0.000 0.000
-1.444 2.501 0.000
0.000 0.000 6.671
Ta Si Au
1 1 1
direct
0.000 0.000 0.000 Ta
0.667 0.333 0.321 Si
0.333 0.667 0.647 Au
```

Summary:
- Space-group type: P3m1

A plane-wave DFT calculation with GGA-PBEsol was carried out for a relaxed Ta2SiAu crystal.

Cell and atoms, written as POSCAR:
```
Ta2SiAu
1.0
-1.848 2.077 4.173
1.848 -2.077 4.173
1.848 2.077 -4.173
Ta Si Au
2 1 1
direct
0.244 0.244 0.000 Ta
0.756 0.756 0.000 Ta
0.000 0.500 0.500 Si
0.500 0.000 0.500 Au
```

Summary:
- Space-group type: Immm

A plane-wave DFT calculation with GGA-PBEsol was carried out for a relaxed TaSi2Au crystal.

Cell and atoms, written as POSCAR:
```
TaSi2Au
1.0
2.841 0.000 0.000
0.000 3.991 0.000
0.000 0.000 5.435
Ta Si Au
1 2 1
direct
0.000 0.000 0.000 Ta
0.500 0.500 0.223 Si
0.500 0.500 0.777 Si
0.500 0.000 0.500 Au
```

Summary:
- Space-group type: Pmmm

A plane-wave DFT calculation with GGA-PBEsol was carried out for a relaxed TaSiAu crystal.

Cell and atoms, written as POSCAR:
```
TaSiAu
1.0
-1.425 1.425 5.887
1.425 -1.425 5.887
1.425 1.425 -5.887
Ta Si Au
1 1 1
direct
0.000 0.000 0.000 Ta
0.342 0.342 0.000 Si
0.675 0.675 0.000 Au
```

Summary:
- Space-group type: I4mm

A plane-wave DFT calculation with GGA-PBEsol was carried out for a relaxed TaSiAu3 crystal.

Cell and atoms, written as POSCAR:
```
TaSiAu3
1.0
5.002 0.000 0.000
0.000 5.002 0.000
0.000 0.000 5.002
Ta Si Au
1 1 3
direct
0.000 0.000 0.000 Ta
0.500 0.500 0.500 Si
0.000 0.000 0.500 Au
0.000 0.500 0.000 Au
0.500 0.000 0.000 Au
```

Summary:
- Space-group type: Pm-3m

A plane-wave DFT calculation with GGA-PBEsol was carried out for a relaxed TaSi2Au crystal.

Cell and atoms, written as POSCAR:
```
TaSi2Au
1.0
-3.402 3.402 2.893
3.402 -3.402 2.893
3.402 3.402 -2.893
Ta Si Au
2 4 2
direct
0.000 0.000 0.000 Ta
0.750 0.250 0.500 Ta
0.144 0.125 0.519 Si
0.375 0.856 0.981 Si
0.606 0.625 0.481 Si
0.875 0.394 0.019 Si
0.250 0.750 0.500 Au
0.500 0.500 0.000 Au
```

Summary:
- Space-group type: I-42d

A plane-wave DFT calculation with GGA-PBEsol was carried out for a relaxed Ta2SiAu crystal.

Cell and atoms, written as POSCAR:
```
Ta2SiAu
1.0
2.833 0.000 0.000
0.000 4.138 0.000
-0.607 0.000 5.476
Ta Si Au
2 1 1
direct
0.049 0.000 0.262 Ta
0.951 0.000 0.738 Ta
0.500 0.500 0.500 Si
0.500 0.500 0.000 Au
```

Summary:
- Space-group type: P2/m

A plane-wave DFT calculation with GGA-PBEsol was carried out for a relaxed TaSi2Au crystal.

Cell and atoms, written as POSCAR:
```
TaSi2Au
1.0
0.000 3.127 3.127
3.127 0.000 3.127
3.127 3.127 0.000
Ta Si Au
1 2 1
direct
0.000 0.000 0.000 Ta
0.250 0.250 0.250 Si
0.750 0.750 0.750 Si
0.500 0.500 0.500 Au
```

Summary:
- Space-group type: Fm-3m

A plane-wave DFT calculation with GGA-PBEsol was carried out for a relaxed TaSi2Au crystal.

Cell and atoms, written as POSCAR:
```
TaSi2Au
1.0
4.722 -1.527 0.000
4.722 1.527 0.000
-1.273 0.000 4.235
Ta Si Au
1 2 1
direct
0.000 0.000 0.000 Ta
0.472 0.472 0.475 Si
0.740 0.740 0.112 Si
0.229 0.229 0.615 Au
```

Summary:
- Space-group type: Cm

A plane-wave DFT calculation with GGA-PBEsol was carried out for a relaxed TaSiTeAu2 crystal.

Cell and atoms, written as POSCAR:
```
TaSiTeAu2
1.0
5.029 0.000 0.000
0.000 5.029 0.000
0.000 0.000 4.928
Ta Si Te Au
1 1 1 2
direct
0.000 0.000 0.000 Ta
0.000 0.000 0.500 Si
0.500 0.500 0.500 Te
0.000 0.500 0.000 Au
0.500 0.000 0.000 Au
```

Summary:
- Space-group type: P4/mmm

A plane-wave DFT calculation with GGA-PBEsol was carried out for a relaxed SiTcAu2 crystal.

Cell and atoms, written as POSCAR:
```
SiTcAu2
1.0
2.734 0.000 0.000
0.000 2.734 0.000
0.000 0.000 8.391
Si Tc Au
1 1 2
direct
0.000 0.000 0.000 Si
0.000 0.000 0.500 Tc
0.500 0.500 0.253 Au
0.500 0.500 0.747 Au
```

Summary:
- Space-group type: P4/mmm

Listing formation energy without anion corrections for the structures above in their given order: -0.18 0.04 -0.03 0.04 0.12 0.06 0.41 -0.01 0.03 0.30 -0.68 -0.26 -0.56 -0.42 -0.27 0.29 -0.19 -0.03 -0.19 -0.18 -0.02 1.36 0.26 -0.21 0.16 -0.17 1.02 0.36 eV per atom.
Listing calculated total energy for the structures above in their given order: -2.916 -4.289 -4.413 -4.342 -4.895 -4.319 -4.881 -4.540 -4.354 -4.992 -5.569 -3.603 -3.896 -4.288 -4.128 -8.406 -8.882 -7.438 -8.884 -7.176 -7.430 -4.654 -6.734 -8.907 -6.831 -7.165 -4.915 -5.858 eV/atom.